1.
{
  "formula": "ScGeMo3",
  "functional": "PBE-GGA",
  "state": "relaxed",
  "formation_energy_ev_per_atom": 0.95,
  "de_polymorph_mev_per_atom": 0.0,
  "m_tot_mub_per_fu": 0.0,
  "dft_energy_ry_per_atom": -0.569,
  "sg": "No. 221",
  "lattice_angstrom": [[4.6534, 0.0000, 0.0000], [0.0000, 4.6534, 0.0000], [0.0000, 0.0000, 4.6534]],
  "species": ["Sc", "Mo", "Mo", "Mo", "Ge"],
  "fractional_positions": [[0.5000, 0.5000, 0.5000], [0.0000, 0.0000, 0.5000], [0.5000, 0.0000, 0.0000], [0.0000, 0.5000, 0.0000], [0.0000, 0.0000, 0.0000]]
}


2.
{
  "formula": "Sc2TaGeMo",
  "functional": "PBE-GGA",
  "state": "relaxed",
  "formation_energy_ev_per_atom": 0.76,
  "m_tot_mub_per_fu": 1.1,
  "dft_energy_ry_per_atom": -0.531,
  "sg": "No. 123",
  "lattice_angstrom": [[-4.7305, 0.4288, -1.1599], [-1.1593, -0.6244, 4.4974], [0.2570, 4.8269, 0.7363]],
  "species": ["Sc", "Sc", "Ta", "Ge", "Mo"],
  "fractional_positions": [[0.5000, 0.0000, 0.0000], [0.0000, 0.0000, 0.5000], [0.5000, 0.5000, 0.5000], [0.0000, 0.0000, 0.0000], [0.0000, 0.5000, 0.0000]]
}